Record 1
LuCoSnRu after structural relaxation, computed with PBE-GGA.

## Properties
The energy of formation is -0.39 eV per atom.

Geometry as CIF:
```
data_LuCoSnRu
_cell_length_a 6.440
_cell_length_b 6.440
_cell_length_c 6.440
_cell_angle_alpha 90.00
_cell_angle_beta 90.00
_cell_angle_gamma 90.00
_space_group_name_H-M_alt 'F -4 3 m'
_space_group_IT_number 216
_space_group_name_Hall 'F -4 2 3'
loop_
_atom_site_label
_atom_site_type_symbol
_atom_site_fract_x
_atom_site_fract_y
_atom_site_fract_z
_atom_site_occupancy
Lu1 Lu 0.000 0.000 0.000 1
Co1 Co 0.250 0.250 0.250 1
Sn1 Sn 0.000 0.000 0.500 1
Ru1 Ru 0.250 0.250 0.750 1
```



Record 2
LuZnCoRu after structural relaxation, computed with PBE-GGA.

## Properties
The energy of formation is -0.06 eV per atom.

Geometry as CIF:
```
data_LuZnCoRu
_cell_length_a 6.305
_cell_length_b 6.305
_cell_length_c 6.305
_cell_angle_alpha 90.00
_cell_angle_beta 90.00
_cell_angle_gamma 90.00
_space_group_name_H-M_alt 'F -4 3 m'
_space_group_IT_number 216
_space_group_name_Hall 'F -4 2 3'
loop_
_atom_site_label
_atom_site_type_symbol
_atom_site_fract_x
_atom_site_fract_y
_atom_site_fract_z
_atom_site_occupancy
Lu1 Lu 0.000 0.000 0.000 1
Zn1 Zn 0.250 0.250 0.250 1
Co1 Co 0.250 0.250 0.750 1
Ru1 Ru 0.000 0.000 0.500 1
```



Record 3
LuCoSb after structural relaxation, computed with PBE-GGA.

Geometry as CIF:
```
data_LuCoSb
_cell_length_a 4.3401
_cell_length_b 4.3401
_cell_length_c 3.6378
_cell_angle_alpha 90.00
_cell_angle_beta 90.00
_cell_angle_gamma 120.00
_space_group_name_H-M_alt 'P -6 m 2'
_space_group_IT_number 187
_space_group_name_Hall 'P -6 2'
loop_
_atom_site_label
_atom_site_type_symbol
_atom_site_fract_x
_atom_site_fract_y
_atom_site_fract_z
_atom_site_occupancy
Lu1 Lu 0.0000 0.0000 0.0000 1
Co1 Co 0.3333 0.6667 0.5000 1
Sb1 Sb 0.6667 0.3333 0.5000 1
```



Record 4
LuCo4Sb after structural relaxation, computed with PBE-GGA.

Geometry as CIF:
```
data_LuCo4Sb
_cell_length_a 7.049
_cell_length_b 7.049
_cell_length_c 7.049
_cell_angle_alpha 90.00
_cell_angle_beta 90.00
_cell_angle_gamma 90.00
_space_group_name_H-M_alt 'F -4 3 m'
_space_group_IT_number 216
_space_group_name_Hall 'F -4 2 3'
loop_
_atom_site_label
_atom_site_type_symbol
_atom_site_fract_x
_atom_site_fract_y
_atom_site_fract_z
_atom_site_occupancy
Lu1 Lu 0.000 0.000 0.000 1
Co1 Co 0.125 0.125 0.625 1
Sb1 Sb 0.250 0.250 0.250 1
```



Number 1: E -6.61 eV/atom. Number 2: E -5.60 eV/atom. Number 3: E -5.77 eV/atom. Number 4: E -6.33 eV/atom.